No. 1
Ga2Ni7MoPt2: relaxed, PBE-GGA.

Structure (extended XYZ):
```
12
Lattice="3.630 -0.002 0.263 0.002 3.630 0.263 2.780 2.777 12.299" Properties=species:S:1:pos:R:3 pbc="T T T"
Ga 3.360 3.356 4.294
Ga 3.052 3.048 8.531
Ni 1.816 1.814 0.263
Ni 2.307 2.304 6.282
Ni 4.106 4.101 6.543
Ni 3.506 1.688 2.150
Ni 1.692 3.504 2.150
Ni 4.720 2.901 10.675
Ni 2.907 4.717 10.675
Mo 0.000 0.000 0.000
Pt 4.863 4.857 8.870
Pt 1.550 1.548 3.955
```

Values from the calculation:
Calculated density (Mg/m³): 11.0
DFT total energy (eV/atom): -5.944
SG: No. 65
Fermi-level density of states (states/eV/cell): 8.56
Volume (Å³/atom): 13.1

***

No. 2
TbPr6Tm: relaxed, PBE-GGA.

Structure (extended XYZ):
```
8
Lattice="5.183 0.000 0.000 0.000 5.183 0.000 0.000 0.000 10.369" Properties=species:S:1:pos:R:3 pbc="T T T"
Tb 0.000 0.000 0.000
Pr 2.591 2.591 0.000
Pr 2.591 2.591 5.185
Pr 2.591 0.000 2.604
Pr 2.591 0.000 7.766
Pr 0.000 2.591 2.604
Pr 0.000 2.591 7.766
Tm 0.000 0.000 5.185
```

Values from the calculation:
Calculated density (Mg/m³): 7.0
DFT total energy (eV/atom): -4.708
Energy above the lowest structure with this stoichiometry (meV/atom): 0
SG: No. 123
Fermi-level density of states (states/eV/cell): 13.11
Volume (Å³/atom): 34.8